Record 1
RbVO, optimized geometry, DFT PBE+U; DOS(E_F) = 0.352 states/eV/atom; SG = C2/m (12)
1.0
6.780 -2.049 0.000
6.780 2.049 0.000
-2.697 0.000 5.454
Rb V O
2 2 2
Direct
0.095 0.095 0.330
0.905 0.905 0.670
0.328 0.328 0.119
0.672 0.672 0.881
0.163 0.163 0.875
0.837 0.837 0.125

---

Record 2
RbVO2, optimized geometry, DFT PBE+U; SG = R3m (160)
1.0
1.724 0.996 7.020
-1.724 0.996 7.020
0.000 -1.991 7.020
Rb V O
1 1 2
Direct
0.000 0.000 0.000
0.504 0.504 0.504
0.139 0.139 0.139
0.588 0.588 0.588

---

Record 3
RbVO2, optimized geometry, DFT PBE+U; DOS(E_F) = 0.773 states/eV/atom; SG = P4/mmm (123)
1.0
3.514 0.000 0.000
0.000 3.514 0.000
0.000 0.000 4.999
Rb V O
1 1 2
Direct
0.000 0.000 0.000
0.500 0.500 0.500
0.000 0.000 0.500
0.500 0.500 0.000

---

Record 4
RbVO2, optimized geometry, DFT PBE+U; DOS(E_F) = 0.267 states/eV/atom; SG = P4/mmm (123)
1.0
4.273 0.000 0.000
0.000 4.273 0.000
0.000 0.000 3.008
Rb V O
1 1 2
Direct
0.000 0.000 0.000
0.500 0.500 0.000
0.000 0.500 0.500
0.500 0.000 0.500

---

Record 5
RbVO2, optimized geometry, DFT PBE+U; SG = Cc (9)
1.0
4.038 -4.760 0.000
4.038 4.760 0.000
-3.162 0.000 4.518
Rb V O
2 2 4
Direct
0.143 0.857 0.500
0.857 0.143 0.000
0.485 0.520 0.012
0.520 0.485 0.512
0.256 0.413 0.592
0.413 0.256 0.092
0.593 0.753 0.412
0.753 0.593 0.912

---

Record 6
Rb5V3O10, optimized geometry, DFT PBE+U; DOS(E_F) = 0.000 states/eV/atom; SG = P4_12_12 (92)
1.0
8.581 0.000 0.000
0.000 8.581 0.000
0.000 0.000 19.932
Rb V O
20 12 40
Direct
0.005 0.026 0.108
0.009 0.475 0.867
0.025 0.509 0.117
0.026 0.005 0.892
0.242 0.242 0.500
0.258 0.742 0.750
0.474 0.505 0.358
0.475 0.009 0.133
0.491 0.975 0.383
0.495 0.526 0.142
0.505 0.474 0.642
0.509 0.025 0.883
0.525 0.991 0.633
0.526 0.495 0.858
0.742 0.258 0.250
0.758 0.758 0.000
0.974 0.995 0.392
0.975 0.491 0.617
0.991 0.525 0.367
0.995 0.974 0.608
0.184 0.816 0.250
0.230 0.231 0.269
0.231 0.230 0.731
0.269 0.730 0.519
0.270 0.731 0.981
0.316 0.316 0.000
0.684 0.684 0.500
0.730 0.269 0.481
0.731 0.270 0.019
0.769 0.770 0.231
0.770 0.769 0.769
0.816 0.184 0.750
0.023 0.216 0.759
0.071 0.329 0.239
0.098 0.805 0.010
0.171 0.571 0.489
0.195 0.902 0.490
0.216 0.023 0.241
0.230 0.239 0.355
0.230 0.248 0.930
0.239 0.230 0.645
0.248 0.230 0.070
0.252 0.730 0.180
0.261 0.730 0.605
0.270 0.739 0.895
0.270 0.748 0.320
0.284 0.523 0.009
0.305 0.402 0.760
0.329 0.071 0.761
0.402 0.305 0.240
0.429 0.829 0.011
0.477 0.716 0.491
0.523 0.284 0.991
0.571 0.171 0.511
0.598 0.695 0.740
0.671 0.929 0.261
0.695 0.598 0.260
0.716 0.477 0.509
0.730 0.252 0.820
0.730 0.261 0.395
0.739 0.270 0.105
0.748 0.270 0.680
0.752 0.770 0.570
0.761 0.770 0.145
0.770 0.752 0.430
0.770 0.761 0.855
0.784 0.977 0.741
0.805 0.098 0.990
0.829 0.429 0.989
0.902 0.195 0.510
0.929 0.671 0.739
0.977 0.784 0.259

---

Record 7
Rb5V2O6, optimized geometry, DFT PBE+U; DOS(E_F) = 0.152 states/eV/atom; SG = C2/c (15)
1.0
5.581 -3.588 0.000
5.581 3.588 0.000
-2.440 0.000 14.789
Rb V O
10 4 12
Direct
0.110 0.890 0.750
0.177 0.708 0.004
0.279 0.416 0.291
0.292 0.823 0.496
0.416 0.279 0.791
0.584 0.721 0.209
0.708 0.177 0.504
0.721 0.584 0.709
0.823 0.292 0.996
0.890 0.110 0.250
0.145 0.405 0.578
0.405 0.145 0.078
0.595 0.855 0.922
0.855 0.595 0.422
0.103 0.211 0.641
0.128 0.334 0.448
0.211 0.103 0.141
0.334 0.128 0.948
0.373 0.483 0.625
0.483 0.373 0.125
0.517 0.627 0.875
0.627 0.517 0.375
0.666 0.872 0.052
0.789 0.897 0.859
0.872 0.666 0.552
0.897 0.789 0.359

---

Record 8
RbV4O7, optimized geometry, DFT PBE+U; DOS(E_F) = 0.072 states/eV/atom; SG = Pmn2_1 (31)
1.0
14.283 0.000 0.000
0.000 5.745 0.000
0.000 0.000 5.316
Rb V O
2 8 14
Direct
0.000 0.152 0.000
0.500 0.848 0.500
0.119 0.683 0.452
0.248 0.178 0.443
0.252 0.822 0.943
0.381 0.317 0.952
0.619 0.317 0.952
0.748 0.822 0.943
0.752 0.178 0.443
0.881 0.683 0.452
0.000 0.783 0.372
0.138 0.742 0.790
0.144 0.374 0.390
0.213 0.879 0.291
0.287 0.121 0.791
0.356 0.626 0.890
0.362 0.258 0.290
0.500 0.217 0.872
0.638 0.258 0.290
0.644 0.626 0.890
0.713 0.121 0.791
0.787 0.879 0.291
0.856 0.374 0.390
0.862 0.742 0.790

---

Record 9
RbVO3, optimized geometry, DFT PBE+U; DOS(E_F) = 1.154 states/eV/atom; SG = Pm-3m (221)
1.0
4.327 0.000 0.000
0.000 4.327 0.000
0.000 0.000 4.327
Rb V O
1 1 3
Direct
0.000 0.000 0.000
0.500 0.500 0.500
0.000 0.000 0.500
0.000 0.500 0.000
0.500 0.000 0.000

---

Record 10
RbVO2, optimized geometry, DFT PBE+U; SG = Cmcm (63)
1.0
2.188 -9.065 0.000
2.188 9.065 0.000
0.000 0.000 4.009
Rb V O
2 2 4
Direct
0.176 0.824 0.750
0.824 0.176 0.250
0.436 0.564 0.750
0.564 0.436 0.250
0.338 0.662 0.750
0.454 0.546 0.250
0.546 0.454 0.750
0.662 0.338 0.250

---

Record 11
RbVO2, optimized geometry, DFT PBE+U; SG = P1 (1)
1.0
4.781 0.000 0.000
0.756 4.743 0.000
1.359 1.147 7.771
Rb V O
2 2 4
Direct
0.000 0.000 0.000
0.479 0.479 0.340
0.563 0.559 0.764
0.918 0.915 0.577
0.237 0.754 0.669
0.568 0.604 0.975
0.721 0.240 0.673
0.872 0.911 0.365

---

Record 12
RbVO2, optimized geometry, DFT PBE+U; DOS(E_F) = 0.068 states/eV/atom; SG = Cmcm (63)
1.0
1.682 -8.165 0.000
1.682 8.165 0.000
0.000 0.000 5.949
Rb V O
2 2 4
Direct
0.168 0.832 0.750
0.832 0.168 0.250
0.442 0.558 0.750
0.558 0.442 0.250
0.002 0.998 0.250
0.335 0.665 0.750
0.665 0.335 0.250
0.998 0.002 0.750

---

| no. | DFT total energy (eV per cell) |
| --- | --- |
| 1 | -30.78 |
| 2 | -24.31 |
| 3 | -20.76 |
| 4 | -19.53 |
| 5 | -50.18 |
| 6 | -451.26 |
| 7 | -142.81 |
| 8 | -176.02 |
| 9 | -18.16 |
| 10 | -49.90 |
| 11 | -49.59 |
| 12 | -48.23 |